A relaxed structure of Ba4Zn, computed with PBE-GGA.

**Distance to the lowest polymorph of the same formula**: 0.074 eV per atom

Cell: 8.5647 15.2393 8.1634 Å, 90.00 90.00 90.00°
Space group Ccce (No. 68, origin choice 2)
Symmetry-distinct sites (fractional):
Ba  0.1665  0.1291  0.0584
Zn  0.0000  0.2500  0.7500

A relaxed structure of Pm12Pr7Tl, computed with PBE-GGA.

Cell: 12.5556 12.5556 15.6986 Å, 90.00 90.00 120.00°
Space group R-3 (No. 148, hexagonal axes)
Symmetry-distinct sites (fractional):
Pm  0.0352  0.1870  0.3078
Pm  0.0725  0.8120  0.9253
Pr  0.0000  0.0000  0.5000
Pr  0.0143  0.4334  0.1981
Tl  0.0000  0.0000  0.0000

For each record above, in turn, the calculated formation enthalpy at 0 K values are 20 157 meV per atom.
For each record above, in turn, the calculated calculated density values are 3.83 6.81 Mg/m³.